# Sc3S2N

Crystalline Sc3S2N at its relaxed geometry (PBE-GGA, the Alexandria database).

Structure (POSCAR):
```
Sc3S2N
1.0
3.4673 0.0000 0.0000
-1.7337 3.0028 0.0000
0.0000 0.0000 8.9500
S Sc N
2 3 1
Cartesian
0.0000 2.0019 6.0803 S
1.7337 1.0009 2.8698 S
0.0000 2.0019 1.1651 Sc
1.7337 1.0009 7.7849 Sc
0.0000 0.0000 4.4750 Sc
0.0000 0.0000 0.0000 N
```

Properties
Its symmetry is P-3m1. Its total energy is -46.58 eV per formula unit.

---

# LiDy2Pb

Crystalline LiDy2Pb at its relaxed geometry (PBE-GGA, the Alexandria database).

Structure (POSCAR):
```
LiDy2Pb
1.0
3.4541 0.0000 0.0000
1.7271 2.9914 0.0000
1.7271 0.9971 11.5871
Li Pb Dy
1 1 2
Cartesian
3.4541 1.9942 5.7936 Li
0.0000 0.0000 0.0000 Pb
1.7271 0.9971 8.4203 Dy
5.1812 2.9914 3.1668 Dy
```

Properties
Its symmetry is R-3m. The formation energy comes out at 63 kJ/mol of formula units.

---

# PmDyInPt

Crystalline PmDyInPt at its relaxed geometry (PBE-GGA, the Alexandria database).

Structure (POSCAR):
```
PmDyInPt
1.0
-5.0278 -0.2188 1.3011
-1.7040 -3.7525 3.1677
-1.4841 1.1629 4.8440
Dy Pt Pm In
1 1 1 1
Cartesian
0.0000 0.0000 0.0000 Dy
-6.1619 -2.1063 6.9846 Pt
-4.1079 -1.4042 4.6564 Pm
-2.0540 -0.7021 2.3282 In
```

Properties
Its symmetry is F-43m. The formation energy comes out at -272 kJ/mol of formula units.

---

# NaInS2

Crystalline NaInS2 at its relaxed geometry (PBE-GGA, the Alexandria database).

Structure (POSCAR):
```
NaInS2
1.0
0.4748 -1.0110 7.7036
3.0749 -3.8161 6.0478
4.2916 0.1452 6.4927
Na S In
1 2 1
Cartesian
7.8167 -4.6672 20.1805 Na
4.8284 -2.8829 12.4655 S
1.0036 -0.5993 2.5911 S
4.0021 -2.3896 10.3323 In
```

Properties
Its symmetry is R3m. Its total energy is -15.21 eV per formula unit.

---

# CsS2Cl2

Crystalline CsS2Cl2 at its relaxed geometry (PBE-GGA, the Alexandria database).

Structure (POSCAR):
```
CsS2Cl2
1.0
-4.1185 5.7714 5.1269
5.0061 -2.4267 6.7533
2.9677 3.0867 -1.0907
S Cl Cs
4 4 2
Cartesian
1.8155 -0.5957 3.2541 S
2.8799 0.2070 8.4216 S
-1.9924 3.1377 3.4586 S
-0.9280 3.9404 8.6261 S
4.2296 1.2447 6.0804 Cl
1.9352 4.2445 8.3266 Cl
1.9201 2.1870 2.4629 Cl
-0.3744 5.1867 4.7091 Cl
0.0000 0.0000 0.0000 Cs
0.4438 1.6724 5.9401 Cs
```

Properties
Its symmetry is P4/mbm. Its total energy is -15.87 eV per formula unit.

---

# CsHgRhCl6

Crystalline CsHgRhCl6 at its relaxed geometry (PBE-GGA, the Alexandria database).

Structure (POSCAR):
```
CsHgRhCl6
1.0
6.7469 0.0000 -0.0001
3.3735 5.8428 0.0001
0.0002 -0.0003 7.6323
Rh Cl Hg Cs
1 6 1 1
Cartesian
3.3734 1.9475 3.8161 Rh
5.2976 2.0213 5.1838 Cl
2.3472 3.5770 5.1838 Cl
2.4752 0.2441 5.1837 Cl
4.3995 3.5770 2.4484 Cl
4.2715 0.2442 2.4484 Cl
1.4491 2.0214 2.4484 Cl
6.7469 3.8950 3.8161 Hg
10.1204 5.8425 7.6322 Cs
```

Properties
Its symmetry is P312. Its total energy is -28.00 eV per formula unit.

---

Per-record density of states at the Fermi level, states/eV/f.u.: 2.4 3.6 3.0 0.0 0.0 0.0